# HgMoOs2 (PBE, relaxed)
# calculated total energy: -31.5 eV per formula unit
# energy of formation from the pure elements: 0.53 eV/atom
data_HgMoOs2
_chemical_formula_sum 'Hg1 Mo1 Os2'
_space_group_name_H-M_alt 'P 1'
_space_group_IT_number 1
_space_group_name_Hall 'P 1'
_cell_length_a 4.8970
_cell_length_b 4.8970
_cell_length_c 4.9792
_cell_angle_alpha 100.11
_cell_angle_beta 100.11
_cell_angle_gamma 33.68
loop_
_atom_site_label
_atom_site_type_symbol
_atom_site_fract_x
_atom_site_fract_y
_atom_site_fract_z
Hg1 Hg 0.0000 0.0000 0.0000
Mo1 Mo 0.5000 0.5000 0.5000
Os1 Os 0.2355 0.2355 0.7142
Os2 Os 0.7645 0.7645 0.2858

# LaHoTlRh (PBE, relaxed)
# calculated total energy: -20.9 eV per formula unit
# energy of formation from the pure elements: -0.43 eV/atom
data_LaHoTlRh
_chemical_formula_sum 'La1 Ho1 Tl1 Rh1'
_space_group_name_H-M_alt 'P 1'
_space_group_IT_number 1
_space_group_name_Hall 'P 1'
_cell_length_a 5.2420
_cell_length_b 5.2420
_cell_length_c 5.2420
_cell_angle_alpha 60.00
_cell_angle_beta 60.00
_cell_angle_gamma 60.00
loop_
_atom_site_label
_atom_site_type_symbol
_atom_site_fract_x
_atom_site_fract_y
_atom_site_fract_z
La1 La 0.0000 0.0000 0.0000
Ho1 Ho 0.5000 0.5000 0.5000
Tl1 Tl 0.2500 0.2500 0.2500
Rh1 Rh 0.7500 0.7500 0.7500

Copy entry 2 word for word.
# LaHoTlRh (PBE, relaxed)
# calculated total energy: -20.9 eV per formula unit
# energy of formation from the pure elements: -0.43 eV/atom
data_LaHoTlRh
_chemical_formula_sum 'La1 Ho1 Tl1 Rh1'
_space_group_name_H-M_alt 'P 1'
_space_group_IT_number 1
_space_group_name_Hall 'P 1'
_cell_length_a 5.2420
_cell_length_b 5.2420
_cell_length_c 5.2420
_cell_angle_alpha 60.00
_cell_angle_beta 60.00
_cell_angle_gamma 60.00
loop_
_atom_site_label
_atom_site_type_symbol
_atom_site_fract_x
_atom_site_fract_y
_atom_site_fract_z
La1 La 0.0000 0.0000 0.0000
Ho1 Ho 0.5000 0.5000 0.5000
Tl1 Tl 0.2500 0.2500 0.2500
Rh1 Rh 0.7500 0.7500 0.7500